This record from Alexandria describes crystalline Pa3Si7Ir2 at its relaxed geometry. The functional is GGA-PBE.

Lattice parameters (Å, degrees): 4.1160 4.1771 12.6108 98.72 90.00 90.00
Element x y z (fractional)
Pa 0.0000 0.2012 0.3685
Pa 0.5000 0.5000 0.0000
Ir 0.5000 0.3945 0.7385
Si 0.0000 0.0000 0.0000
Si 0.5000 0.9255 0.8319
Si 0.5000 0.0745 0.1681
Pa 0.0000 0.7988 0.6315
Si 0.0000 0.6754 0.1713
Si 0.5000 0.2674 0.5470
Si 0.0000 0.3246 0.8287
Si 0.5000 0.7326 0.4530
Ir 0.5000 0.6055 0.2615

**Uncorrected formation energy**: -0.699 eV/atom
**M_tot**: 0.00 μB per formula unit
**Calculated volume**: 214 Å³/cell